No. 1
Tl2ReAu after structural relaxation, computed with PBE.

a b c (Å): 3.5491 3.5491 6.4064
angles (deg): 90.00 90.00 90.00
Last column: nearest neighbours and their distance in Å.
Atoms (fractional coordinates):
Au 0.5000 0.5000 0.2500  8 Tl 3.02, 2 Re 3.20
Re 0.5000 0.5000 0.7500  8 Tl 2.93, 2 Au 3.20
Tl 0.0000 0.0000 0.9873  4 Re 2.93, 4 Au 3.02, 1 Tl 3.04
Tl 0.0000 0.0000 0.5127  4 Re 2.93, 4 Au 3.02, 1 Tl 3.04

- Space group: P4/mmm, No. 123


No. 2
Tl4ReAu after structural relaxation, computed with PBE.

a b c (Å): 6.1782 6.1782 6.1782
angles (deg): 60.00 60.00 60.00
Last column: nearest neighbours and their distance in Å.
Atoms (fractional coordinates):
Tl 0.3749 0.8753 0.3749  6 Tl 3.09
Tl 0.8753 0.3749 0.3749  6 Tl 3.09
Tl 0.3749 0.3749 0.8753  6 Tl 3.09
Tl 0.3749 0.3749 0.3749  6 Tl 3.09
Re 0.0000 0.0000 0.0000  12 Tl 3.62, 4 Au 3.78
Au 0.7500 0.7500 0.7500  12 Tl 3.62, 4 Re 3.78

- Space group: F-43m, No. 216


No. 3
Tl2ReAu after structural relaxation, computed with PBE.

a b c (Å): 10.7198 10.7198 10.7198
angles (deg): 16.41 16.41 16.41
Last column: nearest neighbours and their distance in Å.
Atoms (fractional coordinates):
Au 0.4900 0.4900 0.4900  3 Re 2.77, 6 Au 3.06
Re 0.7559 0.7559 0.7559  3 Au 2.77, 3 Tl 3.06, 6 Re 3.06
Tl 0.0105 0.0105 0.0105  3 Re 3.06, 6 Tl 3.06
Tl 0.2435 0.2435 0.2435  6 Tl 3.06, 3 Au 3.27

- Space group: R3m, No. 160


No. 4
TlRe4Au after structural relaxation, computed with PBE.

a b c (Å): 5.2984 5.2984 5.2984
angles (deg): 60.00 60.00 60.00
Last column: nearest neighbours and their distance in Å.
Atoms (fractional coordinates):
Tl 0.7500 0.7500 0.7500  12 Re 3.11, 4 Au 3.24
Re 0.8781 0.3740 0.3740  6 Re 2.63-2.67
Re 0.3740 0.3740 0.8781  6 Re 2.63-2.67
Re 0.3740 0.8781 0.3740  6 Re 2.63-2.67
Re 0.3740 0.3740 0.3740  6 Re 2.63-2.67
Au 0.0000 0.0000 0.0000  12 Re 3.10, 4 Tl 3.24

- Space group: F-43m, No. 216


No. 5
Tl3ReAu after structural relaxation, computed with PBE.

a b c (Å): 5.3324 5.3324 5.3324
angles (deg): 90.00 90.00 90.00
Last column: nearest neighbours and their distance in Å.
Atoms (fractional coordinates):
Re 0.0000 0.0000 0.0000  6 Tl 2.67
Tl 0.0000 0.5000 0.0000  2 Re 2.67
Tl 0.0000 0.0000 0.5000  2 Re 2.67
Tl 0.5000 0.0000 0.0000  2 Re 2.67
Au 0.5000 0.5000 0.5000  12 Tl 3.77

- Space group: Pm-3m, No. 221


No. 6
Tl2ReAu after structural relaxation, computed with PBE.

a b c (Å): 2.9744 2.9744 10.3258
angles (deg): 90.00 90.00 90.00
Last column: nearest neighbours and their distance in Å.
Atoms (fractional coordinates):
Au 0.0000 0.0000 0.5438  4 Re 2.78, 4 Au 2.97
Re 0.5000 0.5000 0.7199  4 Au 2.78, 4 Re 2.97
Tl 0.0000 0.0000 0.9517  4 Tl 2.97, 4 Re 3.19
Tl 0.5000 0.5000 0.2846  4 Tl 2.97

- Space group: P4mm, No. 99


No. 7
TlReAu after structural relaxation, computed with PBE.

a b c (Å): 7.5327 7.5327 7.5327
angles (deg): 158.17 158.17 31.06
Last column: nearest neighbours and their distance in Å.
Atoms (fractional coordinates):
Au 0.9814 0.9814 0.0000  4 Re 2.84, 4 Au 2.85
Re 0.3435 0.3435 0.0000  4 Au 2.84, 4 Re 2.85, 4 Tl 3.17
Tl 0.6751 0.6751 0.0000  4 Tl 2.85, 4 Re 3.17

- Space group: I4mm, No. 107


No. 8
Tl2ReAu after structural relaxation, computed with PBE.

a b c (Å): 5.6705 5.6705 5.6705
angles (deg): 137.71 137.71 61.34
Last column: nearest neighbours and their distance in Å.
Atoms (fractional coordinates):
Au 0.5000 0.5000 0.0000  8 Tl 2.89-3.18, 4 Re 3.18
Re 0.7500 0.2500 0.5000  8 Tl 2.89-3.18, 4 Au 3.18
Tl 0.0000 0.0000 0.0000  4 Au 2.89, 4 Tl 3.18, 4 Re 3.18
Tl 0.2500 0.7500 0.5000  4 Re 2.89, 4 Au 3.18, 4 Tl 3.18

- Space group: I-4m2, No. 119


No. 9
Tl2ReAu after structural relaxation, computed with PBE.

a b c (Å): 5.3210 2.9481 5.1934
angles (deg): 90.02 90.00 90.00
Last column: nearest neighbours and their distance in Å.
Atoms (fractional coordinates):
Au 0.0000 0.3753 0.5440  6 Tl 2.87-3.13, 2 Au 2.95, 4 Re 3.16
Re 0.5000 0.8750 0.7118  6 Tl 2.93-3.10, 2 Re 2.95, 4 Au 3.16
Tl 0.0000 0.8750 0.0195  4 Au 2.87-3.10, 2 Tl 2.95, 2 Re 3.10
Tl 0.5000 0.3746 0.2247  4 Re 2.93-3.05, 6 Tl 2.95-3.22, 2 Au 3.13

- Space group: Pmm2, No. 25


No. 10
TlReAu after structural relaxation, computed with PBE.

a b c (Å): 5.5530 5.5530 5.5530
angles (deg): 150.33 136.85 53.24
Last column: nearest neighbours and their distance in Å.
Atoms (fractional coordinates):
Au 0.0189 0.0189 0.0000  4 Re 2.81, 2 Au 2.84, 5 Tl 3.10-3.11
Re 0.6503 0.6503 0.0000  4 Au 2.81, 2 Re 2.84, 4 Tl 3.07
Tl 0.3308 0.3308 0.0000  2 Tl 2.84, 5 Re 3.07-3.17, 5 Au 3.10-3.11

- Space group: Imm2, No. 44


No. 11
TlReAu after structural relaxation, computed with PBE.

a b c (Å): 2.9917 2.9917 7.2799
angles (deg): 90.00 90.00 120.00
Last column: nearest neighbours and their distance in Å.
Atoms (fractional coordinates):
Au 0.0000 0.0000 0.0189  3 Re 2.80, 6 Au 2.99, 3 Tl 3.13
Re 0.3333 0.6667 0.3216  3 Au 2.80, 6 Re 2.99, 3 Tl 3.01
Tl 0.6667 0.3333 0.6595  6 Tl 2.99, 3 Re 3.01, 3 Au 3.13

- Space group: P3m1, No. 156


No. 12
Tl2ReAu after structural relaxation, computed with PBE.

a b c (Å): 4.2852 4.2852 10.2148
angles (deg): 77.89 77.89 90.00
Last column: nearest neighbours and their distance in Å.
Atoms (fractional coordinates):
Re 0.5000 0.5000 0.0000  4 Tl 2.85, 4 Au 3.03
Re 0.2500 0.7500 0.5000  4 Tl 2.85, 4 Au 3.03
Tl 0.6107 0.1250 0.2500  2 Re 2.85, 2 Au 2.89, 4 Tl 2.94-3.12
Tl 0.1393 0.6250 0.2500  2 Re 2.85, 2 Au 2.89, 4 Tl 2.94-3.12
Tl 0.3750 0.3893 0.7500  2 Re 2.85, 2 Au 2.89, 4 Tl 2.94-3.12
Tl 0.8750 0.8607 0.7500  2 Re 2.85, 2 Au 2.89, 4 Tl 2.94-3.12
Au 0.0000 0.0000 0.0000  4 Tl 2.89, 4 Re 3.03
Au 0.7500 0.2500 0.5000  4 Tl 2.89, 4 Re 3.03

- Space group: I-42d, No. 122


No. 13
Tl2ReAu after structural relaxation, computed with PBE.

a b c (Å): 5.5664 5.8239 3.0213
angles (deg): 74.82 90.30 118.64
Last column: nearest neighbours and their distance in Å.
Atoms (fractional coordinates):
Au 0.0000 0.5000 0.5000  4 Tl 2.91, 2 Au 3.02, 4 Re 3.16-3.17
Re 0.5000 0.5000 0.0000  4 Tl 2.91, 2 Re 3.02, 4 Au 3.16-3.17
Tl 0.0000 0.0000 0.0000  2 Au 2.91, 2 Re 2.91, 6 Tl 3.02-3.17
Tl 0.5000 0.0000 0.5000  2 Re 2.91, 2 Au 2.91, 6 Tl 3.02-3.17

- Space group: C2/m, No. 12


No. 14
Tl2ReAu after structural relaxation, computed with PBE.

a b c (Å): 5.3753 5.3753 5.3753
angles (deg): 133.21 133.21 68.32
Last column: nearest neighbours and their distance in Å.
Atoms (fractional coordinates):
Au 0.2500 0.7500 0.5000  4 Re 3.02, 8 Tl 3.08
Re 0.7500 0.2500 0.5000  4 Au 3.02, 8 Tl 3.08
Tl 0.0000 0.0000 0.0000  4 Tl 3.02, 4 Au 3.08, 4 Re 3.08
Tl 0.5000 0.5000 0.0000  4 Tl 3.02, 4 Re 3.08, 4 Au 3.08

- Space group: I4/mmm, No. 139


No. 15
TlReAu after structural relaxation, computed with PBE.

a b c (Å): 7.9896 7.7137 2.9510
angles (deg): 84.48 73.94 21.57
Last column: nearest neighbours and their distance in Å.
Atoms (fractional coordinates):
Au 0.9924 0.9924 0.0076  2 Re 2.77, 6 Au 2.95-2.96, 2 Tl 3.06
Re 0.3379 0.3379 0.6621  2 Au 2.77, 2 Tl 2.95, 6 Re 2.95-2.96
Tl 0.6697 0.6697 0.3303  2 Re 2.95, 6 Tl 2.95-2.96, 2 Au 3.06

- Space group: Fmm2, No. 42


No. 16
Tl2ReAu after structural relaxation, computed with PBE.

a b c (Å): 4.8636 4.8636 4.8636
angles (deg): 60.00 60.00 60.00
Last column: nearest neighbours and their distance in Å.
Atoms (fractional coordinates):
Re 0.0000 0.0000 0.0000  8 Tl 2.98
Tl 0.2500 0.2500 0.2500  4 Re 2.98, 4 Au 2.98
Tl 0.7500 0.7500 0.7500  4 Au 2.98, 4 Re 2.98
Au 0.5000 0.5000 0.5000  8 Tl 2.98

- Space group: Fm-3m, No. 225


No. 17
ZrTlRe2Au after structural relaxation, computed with PBE.

a b c (Å): 4.9971 4.8880 4.9971
angles (deg): 90.00 90.00 90.00
Last column: nearest neighbours and their distance in Å.
Atoms (fractional coordinates):
Re 0.0000 0.0000 0.5000  2 Tl 2.50
Re 0.5000 0.0000 0.0000  2 Tl 2.50
Tl 0.0000 0.0000 0.0000  2 Au 2.44, 4 Re 2.50
Au 0.0000 0.5000 0.0000  2 Tl 2.44
Zr 0.5000 0.5000 0.5000  8 Re 3.50, 4 Au 3.53

- Space group: P4/mmm, No. 123


No. 18
U2ReAu after structural relaxation, computed with PBE.

a b c (Å): 3.0559 3.0559 8.5801
angles (deg): 90.00 90.00 90.00
Last column: nearest neighbours and their distance in Å.
Atoms (fractional coordinates):
Au 0.5000 0.5000 0.5000  4 Au 3.06, 8 U 3.19
U 0.0000 0.0000 0.7739  4 Re 2.90, 4 U 3.06, 4 Au 3.19
U 0.0000 0.0000 0.2261  4 Re 2.90, 4 U 3.06, 4 Au 3.19
Re 0.5000 0.5000 0.0000  8 U 2.90, 4 Re 3.06

- Space group: P4/mmm, No. 123


No. 19
VReAu2 after structural relaxation, computed with PBE.

a b c (Å): 3.7406 3.7406 10.1274
angles (deg): 79.36 79.36 90.00
Last column: nearest neighbours and their distance in Å.
Atoms (fractional coordinates):
Re 0.0000 0.0000 0.0000  4 V 2.64, 4 Au 2.78
Re 0.7500 0.2500 0.5000  4 V 2.64, 4 Au 2.78
Au 0.6259 0.1250 0.2500  4 Au 2.64-2.65, 2 Re 2.78, 2 V 2.78
Au 0.1241 0.6250 0.2500  4 Au 2.64-2.65, 2 Re 2.78, 2 V 2.78
Au 0.3750 0.3741 0.7500  4 Au 2.64-2.65, 2 Re 2.78, 2 V 2.78
Au 0.8750 0.8759 0.7500  4 Au 2.64-2.65, 2 Re 2.78, 2 V 2.78
V 0.5000 0.5000 0.0000  4 Re 2.64, 4 Au 2.78
V 0.2500 0.7500 0.5000  4 Re 2.64, 4 Au 2.78

- Space group: I-42d, No. 122


No. 20
VReAu3 after structural relaxation, computed with PBE.

a b c (Å): 4.9968 4.9968 4.9968
angles (deg): 90.00 90.00 90.00
Last column: nearest neighbours and their distance in Å.
Atoms (fractional coordinates):
Re 0.0000 0.0000 0.0000  6 Au 2.50
Au 0.0000 0.5000 0.0000  2 Re 2.50
Au 0.0000 0.0000 0.5000  2 Re 2.50
Au 0.5000 0.0000 0.0000  2 Re 2.50
V 0.5000 0.5000 0.5000  12 Au 3.53

- Space group: Pm-3m, No. 221


| no. | ΔE_f (eV/atom) |
| --- | --- |
| 1 | 0.88 |
| 2 | 1.19 |
| 3 | 0.71 |
| 4 | 0.88 |
| 5 | 0.83 |
| 6 | 0.68 |
| 7 | 0.85 |
| 8 | 0.90 |
| 9 | 0.81 |
| 10 | 0.97 |
| 11 | 0.78 |
| 12 | 1.04 |
| 13 | 0.86 |
| 14 | 0.94 |
| 15 | 0.83 |
| 16 | 1.02 |
| 17 | 2.24 |
| 18 | 0.04 |
| 19 | 0.63 |
| 20 | 1.48 |